Compound: VCO2
Source: the Alexandria database
Functional: GGA+U
Structure: relaxed

## Properties
- DFT total energy (eV/atom) = -5.72
- magnetic moment (μB/cell) = 3.3
- space group = R-3m (166)

Cell: 2.8525 2.8525 17.4291 Å, 90.00 90.00 120.00°
Fractional positions:
V  0.0000  0.0000  0.0000
V  0.3333  0.6667  0.6667
V  0.6667  0.3333  0.3333
C  0.0000  0.0000  0.5000
C  0.3333  0.6667  0.1667
C  0.6667  0.3333  0.8333
O  0.0000  0.0000  0.1064
O  0.0000  0.0000  0.8936
O  0.3333  0.6667  0.5603
O  0.3333  0.6667  0.7731
O  0.6667  0.3333  0.2269
O  0.6667  0.3333  0.4397